Record 1
DFT (PBE) results for a relaxed Ag4HgAu8 crystal.

The structure in extended XYZ format:
```
13
Lattice="2.9034 0.0000 0.0000 0.0000 4.7477 0.0000 0.0000 0.0000 18.2654" Properties=species:S:1:pos:R:3 pbc="T T T"
Ag 0.0000 0.0000 0.0000
Ag 0.0000 2.3739 3.4968
Ag 1.4517 0.0000 7.7702
Ag 1.4517 2.3739 11.3239
Hg 0.0000 0.0000 13.2063
Au 0.0000 0.0000 5.1734
Au 0.0000 0.0000 10.3666
Au 0.0000 2.3739 8.7027
Au 0.0000 2.3739 16.5185
Au 1.4517 0.0000 2.5729
Au 1.4517 0.0000 15.7215
Au 1.4517 2.3739 0.9108
Au 1.4517 2.3739 6.1013
```

Values from the calculation:
- energy of formation from the pure elements (eV/atom) = 0.01
- calculated total energy (eV per formula unit) = -37.7
- space group = Pmm2



Record 2
DFT (PBE) results for a relaxed Cs2TeH6Cl2O6 crystal.

The structure in extended XYZ format:
```
34
Lattice="6.4828 0.0000 0.0000 0.0000 11.3020 0.0000 -2.4466 0.0000 7.6203" Properties=species:S:1:pos:R:3 pbc="T T T"
Cs 1.4502 1.4732 0.4534
Cs 0.2269 4.1778 4.2635
Cs 3.8093 7.1242 3.3568
Cs 2.5860 9.8288 7.1669
Te -1.2233 0.0000 3.8101
Te 0.0000 5.6510 0.0000
H -1.0146 7.2346 6.3093
H 0.2087 9.7184 2.4992
H 0.9370 7.3980 1.4978
H -0.2863 9.5550 5.3080
H 1.0134 0.9260 4.3871
H 2.2367 4.7250 0.5770
H 1.7994 6.5770 7.0433
H 3.0227 10.3760 3.2332
H 4.3224 1.7470 2.3123
H 3.0991 3.9040 6.1224
H 3.8274 1.5836 5.1211
H 5.0507 4.0674 1.3110
Cl 0.7546 7.5615 5.3124
Cl 1.9780 9.3915 1.5023
Cl 2.0582 1.9105 6.1180
Cl 3.2815 3.7405 2.3078
O -1.9863 7.2217 6.5621
O -0.7630 9.7312 2.7520
O 0.5858 6.4838 1.6774
O -0.6375 10.4692 5.4875
O 0.5383 0.8111 3.5202
O -0.6850 4.8399 7.3303
O 4.7211 6.4621 0.2899
O 3.4978 10.4909 4.1000
O 4.6736 0.8328 2.1327
O 3.4503 4.8182 5.9429
O 4.7991 1.5707 4.8683
O 6.0224 4.0803 1.0582
```

Values from the calculation:
- calculated total energy (eV per formula unit) = -79.2
- space group = P2_1/c



Record 3
DFT (PBE) results for a relaxed KTlAs2 crystal.

The structure in extended XYZ format:
```
4
Lattice="0.0000 3.7441 3.7441 3.7441 0.0000 3.7441 3.7441 3.7441 0.0000" Properties=species:S:1:pos:R:3 pbc="T T T"
K 0.0000 0.0000 0.0000
Tl 3.7441 3.7441 3.7441
As 1.8720 1.8720 1.8720
As 5.6161 5.6161 5.6161
```

Values from the calculation:
- energy of formation from the pure elements (eV/atom) = 0.25
- energy above the lowest structure with this stoichiometry (meV/atom) = 490
- calculated total energy (eV per formula unit) = -11.8
- space group = Fm-3m



Record 4
DFT (PBE) results for a relaxed Nd2MgAu3 crystal.

The structure in extended XYZ format:
```
12
Lattice="5.1382 0.0000 0.0000 -2.5691 4.4498 0.0000 0.0000 0.0000 12.4081" Properties=species:S:1:pos:R:3 pbc="T T T"
Nd 0.0000 0.0000 0.0000
Nd 0.0000 0.0000 6.2041
Nd 0.0000 2.9666 2.2867
Nd 2.5691 1.4833 10.1214
Mg 0.0000 2.9666 8.2329
Mg 2.5691 1.4833 4.1753
Au 0.0000 0.0000 3.1170
Au 0.0000 0.0000 9.2912
Au 0.0000 2.9666 5.3388
Au 0.0000 2.9666 11.3880
Au 2.5691 1.4833 1.0202
Au 2.5691 1.4833 7.0693
```

Values from the calculation:
- energy of formation from the pure elements (eV/atom) = -0.73
- calculated total energy (eV per formula unit) = -25.4
- space group = P-3m1



Record 5
DFT (PBE) results for a relaxed K2Au crystal.

The structure in extended XYZ format:
```
9
Lattice="8.9957 0.0000 0.0000 -4.4978 7.7905 0.0000 0.0000 0.0000 5.0433" Properties=species:S:1:pos:R:3 pbc="T T T"
K -1.1580 2.0057 0.0000
K -2.6432 4.5782 2.5217
K 2.3160 0.0000 0.0000
K 1.8546 3.2123 2.5217
K 5.2864 0.0000 2.5217
K 3.3398 5.7848 0.0000
Au 0.0000 0.0000 2.5217
Au 0.0000 5.1936 0.0000
Au 4.4978 2.5968 0.0000
```

Values from the calculation:
- energy of formation from the pure elements (eV/atom) = -0.20
- calculated total energy (eV per formula unit) = -6.1
- space group = P-62m



Record 6
DFT (PBE) results for a relaxed TaSb2Au crystal.

The structure in extended XYZ format:
```
4
Lattice="4.8131 0.0000 0.0000 0.0000 4.8131 0.0000 0.0000 0.0000 3.5962" Properties=species:S:1:pos:R:3 pbc="T T T"
Ta 0.0000 0.0000 0.0000
Sb 0.0000 2.4066 1.7981
Sb 2.4066 0.0000 1.7981
Au 2.4066 2.4066 0.0000
```

Values from the calculation:
- E_form (uncorrected) (eV/atom) = 0.2358
- calculated total energy (eV per formula unit) = -22.4
- space group = P4/mmm



Record 7
DFT (PBE) results for a relaxed Tm2BIr3 crystal.

The structure in extended XYZ format:
```
6
Lattice="2.7330 1.5779 3.7245 -2.7330 1.5779 3.7245 0.0000 -3.1558 3.7245" Properties=species:S:1:pos:R:3 pbc="T T T"
Tm 0.0000 0.0000 1.4179
Tm 0.0000 0.0000 9.7555
B 0.0000 0.0000 5.5867
Ir -1.3665 -0.7890 3.7245
Ir -1.3665 0.7890 7.4489
Ir 0.0000 1.5779 3.7245
```

Values from the calculation:
- energy of formation from the pure elements (eV/atom) = -0.63
- energy above the lowest structure with this stoichiometry (meV/atom) = 0
- calculated total energy (eV per formula unit) = -46.0
- space group = R-3m



Record 8
DFT (PBE) results for a relaxed Al2ZnAg6 crystal.

The structure in extended XYZ format:
```
9
Lattice="6.8292 -3.0535 0.0000 6.8292 3.0535 0.0000 -1.0916 0.0000 4.2117" Properties=species:S:1:pos:R:3 pbc="T T T"
Al 2.0730 0.0000 0.7290
Al 10.4937 0.0000 3.4826
Zn 6.2833 0.0000 2.1058
Ag 4.1748 1.5199 1.3697
Ag 6.8292 1.5474 0.0000
Ag 8.3919 1.5199 2.8420
Ag 4.1748 -1.5199 1.3697
Ag 6.8292 -1.5474 0.0000
Ag 8.3919 -1.5199 2.8420
```

Values from the calculation:
- energy of formation from the pure elements (eV/atom) = 0.12
- energy above the lowest structure with this stoichiometry (meV/atom) = 136
- calculated total energy (eV per formula unit) = -24.8
- space group = C2/m



Record 9
DFT (PBE) results for a relaxed Zn2TcPt crystal.

The structure in extended XYZ format:
```
4
Lattice="4.0114 0.0000 0.0000 0.0000 4.0114 0.0000 0.0000 0.0000 3.6478" Properties=species:S:1:pos:R:3 pbc="T T T"
Zn 0.0000 2.0057 0.0000
Zn 2.0057 0.0000 0.0000
Tc 0.0000 0.0000 1.8239
Pt 2.0057 2.0057 1.8239
```

Values from the calculation:
- energy of formation from the pure elements (eV/atom) = -0.07
- energy above the lowest structure with this stoichiometry (meV/atom) = 75
- calculated total energy (eV per formula unit) = -19.2
- space group = P4/mmm



Record 10
DFT (PBE) results for a relaxed RbAu3S crystal.

The structure in extended XYZ format:
```
5
Lattice="5.0962 0.0000 0.0000 0.0000 5.0962 0.0000 0.0000 0.0000 5.0962" Properties=species:S:1:pos:R:3 pbc="T T T"
Rb 0.0000 0.0000 0.0000
Au 0.0000 2.5481 2.5481
Au 2.5481 0.0000 2.5481
Au 2.5481 2.5481 0.0000
S 2.5481 2.5481 2.5481
```

Values from the calculation:
- E_form (uncorrected) (eV/atom) = 0.0518
- energy above the lowest structure with this stoichiometry (meV/atom) = 0
- calculated total energy (eV per formula unit) = -14.7
- space group = Pm-3m



Record 11
DFT (PBE) results for a relaxed Nd4ZrSb5 crystal.

The structure in extended XYZ format:
```
10
Lattice="-2.2266 2.2266 15.6640 2.2266 -2.2266 15.6640 2.2266 2.2266 -15.6640" Properties=species:S:1:pos:R:3 pbc="T T T"
Nd 0.0000 0.0000 3.1013
Nd 0.0000 0.0000 9.4605
Nd 0.0000 0.0000 21.8675
Nd 0.0000 0.0000 28.2267
Zr 0.0000 0.0000 15.6640
Sb 0.0000 0.0000 0.0000
Sb 0.0000 0.0000 6.2646
Sb 0.0000 0.0000 12.6989
Sb 0.0000 0.0000 18.6291
Sb 0.0000 0.0000 25.0634
```

Values from the calculation:
- E_form (uncorrected) (eV/atom) = -1.0269
- calculated total energy (eV per formula unit) = -58.5
- space group = I4/mmm



Record 12
DFT (PBE) results for a relaxed HfPt2Rh2 crystal.

The structure in extended XYZ format:
```
10
Lattice="4.4263 0.0000 0.0000 -2.2131 3.8333 0.0000 0.0000 0.0000 10.1804" Properties=species:S:1:pos:R:3 pbc="T T T"
Hf 0.0000 0.0000 2.5451
Hf 0.0000 0.0000 7.6353
Pt 0.0000 0.0000 0.0000
Pt 0.0000 0.0000 5.0902
Pt 0.0000 2.5555 2.5451
Pt 2.2131 1.2778 7.6353
Rh 0.0000 2.5555 6.1017
Rh 0.0000 2.5555 9.1689
Rh 2.2131 1.2778 1.0115
Rh 2.2131 1.2778 4.0787
```

Values from the calculation:
- energy of formation from the pure elements (eV/atom) = -0.22
- calculated total energy (eV per formula unit) = -37.8
- space group = P6_3/mmc



Record 13
DFT (PBE) results for a relaxed Nd2Dy12Sc crystal.

The structure in extended XYZ format:
```
30
Lattice="6.4328 0.0000 0.0000 0.0000 6.4328 0.0000 0.0000 0.0000 24.6268" Properties=species:S:1:pos:R:3 pbc="T T T"
Nd 1.6082 4.8246 5.7109
Nd 1.6082 4.8246 18.9159
Nd 4.8246 1.6082 5.7109
Nd 4.8246 1.6082 18.9159
Dy 0.3972 3.6135 9.6152
Dy 0.3972 6.0356 15.0116
Dy 0.5246 3.7410 1.5137
Dy 0.5246 5.9081 23.1132
Dy 1.6082 1.6082 3.9975
Dy 1.6082 1.6082 7.1214
Dy 1.6082 1.6082 17.5055
Dy 1.6082 1.6082 20.6293
Dy 2.6918 3.7410 23.1132
Dy 2.6918 5.9081 1.5137
Dy 2.8192 3.6135 15.0116
Dy 2.8192 6.0356 9.6152
Dy 3.6135 0.3972 15.0116
Dy 3.6135 2.8192 9.6152
Dy 3.7410 0.5246 23.1132
Dy 3.7410 2.6918 1.5137
Dy 4.8246 4.8246 3.9975
Dy 4.8246 4.8246 7.1214
Dy 4.8246 4.8246 17.5055
Dy 4.8246 4.8246 20.6293
Dy 5.9081 0.5246 1.5137
Dy 5.9081 2.6918 23.1132
Dy 6.0356 0.3972 9.6152
Dy 6.0356 2.8192 15.0116
Sc 1.6082 4.8246 12.3134
Sc 4.8246 1.6082 12.3134
```

Values from the calculation:
- energy of formation from the pure elements (eV/atom) = 0.35
- calculated total energy (eV per formula unit) = -65.9
- space group = P4/nbm



Record 14
DFT (PBE) results for a relaxed Na2MnNi3As4 crystal.

The structure in extended XYZ format:
```
10
Lattice="4.1139 0.0000 0.0000 0.0000 4.1139 0.0000 0.0000 0.0000 9.9166" Properties=species:S:1:pos:R:3 pbc="T T T"
Na 0.0000 2.0570 2.4731
Na 2.0570 0.0000 7.4435
Mn 0.0000 0.0000 4.9583
Ni 0.0000 2.0570 8.6799
Ni 2.0570 0.0000 1.2367
Ni 2.0570 2.0570 4.9583
As 0.0000 0.0000 0.0000
As 0.0000 2.0570 6.2729
As 2.0570 0.0000 3.6437
As 2.0570 2.0570 0.0000
```

Values from the calculation:
- energy of formation from the pure elements (eV/atom) = -0.31
- calculated total energy (eV per formula unit) = -50.9
- space group = P-4m2



Record 15
DFT (PBE) results for a relaxed Sr3Re2N6 crystal.

The structure in extended XYZ format:
```
11
Lattice="-1.9760 1.9760 10.3760 1.9760 -1.9760 10.3760 1.9760 1.9760 -10.3760" Properties=species:S:1:pos:R:3 pbc="T T T"
Sr 0.0000 0.0000 0.0000
Sr 0.0000 0.0000 3.7562
Sr 0.0000 0.0000 16.9958
Re 0.0000 0.0000 8.2334
Re 0.0000 0.0000 12.5186
N 1.9760 0.0000 1.8200
N 0.0000 0.0000 6.3970
N 1.9760 0.0000 8.5560
N 0.0000 1.9760 1.8200
N 0.0000 0.0000 14.3550
N 0.0000 1.9760 8.5560
```

Values from the calculation:
- E_form (uncorrected) (eV/atom) = -0.5857
- calculated total energy (eV per formula unit) = -86.3
- space group = I4/mmm



Record 16
DFT (PBE) results for a relaxed Sc2InS crystal.

The structure in extended XYZ format:
```
4
Lattice="1.8191 1.0503 9.1224 -1.8191 1.0503 9.1224 0.0000 -2.1006 9.1224" Properties=species:S:1:pos:R:3 pbc="T T T"
Sc 0.0000 0.0000 2.3200
Sc 0.0000 0.0000 25.0472
In 0.0000 0.0000 13.6836
S 0.0000 0.0000 0.0000
```

Values from the calculation:
- E_form (uncorrected) (eV/atom) = -0.4287
- energy above the lowest structure with this stoichiometry (meV/atom) = 732
- calculated total energy (eV per formula unit) = -21.2
- space group = R-3m



Record 17
DFT (PBE) results for a relaxed CdNiAgHg crystal.

The structure in extended XYZ format:
```
4
Lattice="0.0000 3.2848 3.2848 3.2848 0.0000 3.2848 3.2848 3.2848 0.0000" Properties=species:S:1:pos:R:3 pbc="T T T"
Cd 0.0000 0.0000 0.0000
Ni 1.6424 1.6424 1.6424
Ag 4.9272 4.9272 4.9272
Hg 3.2848 3.2848 3.2848
```

Values from the calculation:
- energy of formation from the pure elements (eV/atom) = 0.14
- calculated total energy (eV per formula unit) = -9.3
- space group = F-43m



Record 18
DFT (PBE) results for a relaxed Be2InOs crystal.

The structure in extended XYZ format:
```
4
Lattice="-1.6091 2.1293 3.9431 1.6091 -2.1293 3.9431 1.6091 2.1293 -3.9431" Properties=species:S:1:pos:R:3 pbc="T T T"
Be 0.0000 0.0000 1.8145
Be 0.0000 0.0000 6.0717
In 0.0000 2.1293 0.0000
Os 1.6091 0.0000 0.0000
```

Values from the calculation:
- energy of formation from the pure elements (eV/atom) = 0.28
- calculated total energy (eV per formula unit) = -20.3
- space group = Immm



Record 19
DFT (PBE) results for a relaxed Fe2CoAg crystal.

The structure in extended XYZ format:
```
4
Lattice="1.3251 0.7650 8.6821 -1.3251 0.7650 8.6821 0.0000 -1.5301 8.6821" Properties=species:S:1:pos:R:3 pbc="T T T"
Fe 0.0000 0.0000 6.3076
Fe 0.0000 0.0000 19.7386
Co 0.0000 0.0000 13.0231
Ag 0.0000 0.0000 0.0000
```

Values from the calculation:
- energy of formation from the pure elements (eV/atom) = 0.28
- energy above the lowest structure with this stoichiometry (meV/atom) = 70
- calculated total energy (eV per formula unit) = -25.8
- space group = R-3m



Record 20
DFT (PBE) results for a relaxed Ce2ErTc9 crystal.

The structure in extended XYZ format:
```
12
Lattice="4.5211 -2.6037 0.0000 4.5211 2.6037 0.0000 -3.0425 0.0000 9.2000" Properties=species:S:1:pos:R:3 pbc="T T T"
Ce -0.0099 0.0000 4.0699
Ce 6.0097 0.0000 5.1301
Er 0.0000 0.0000 0.0000
Tc 2.2459 1.3176 2.2357
Tc 3.0059 0.0000 0.0724
Tc 1.4642 0.0000 6.9696
Tc 3.7539 1.3176 6.9643
Tc 2.9999 0.0000 4.6000
Tc 2.2459 -1.3176 2.2357
Tc 4.5356 0.0000 2.2304
Tc 2.9939 0.0000 9.1276
Tc 3.7539 -1.3176 6.9643
```

Values from the calculation:
- energy of formation from the pure elements (eV/atom) = -0.01
- calculated total energy (eV per formula unit) = -109.8
- space group = C2/m